No. 1
A plane-wave DFT calculation with PBE was carried out for a geometry-optimized LaMn2Ru2 structure.

a = 7.6078 Å, b = 7.6078 Å, c = 2.8675 Å
α = 90.00°, β = 90.00°, γ = 90.00°
With the nearest neighbours (Å) after each atom.
Space group P4/mbm (No. 127)
One atom of each set of equivalent atoms:
La1 0.0000 0.0000 0.0000 [2 per cell]  2 La 2.87, 4 Mn 2.99, 8 Ru 3.21
Mn1 0.1295 0.3705 0.0000 [4 per cell]  6 Ru 2.62-2.71, 3 Mn 2.79-2.87
Ru1 0.1570 0.6570 0.5000 [4 per cell]  6 Mn 2.62-2.71, 2 Ru 2.87

Properties
The calculation puts the formation energy from the elements at 203 meV/atom. The total energy is -8.161 eV/atom.

No. 2
A plane-wave DFT calculation with PBE was carried out for a geometry-optimized La2MnRu structure.

a = 7.4050 Å, b = 7.4050 Å, c = 6.2986 Å
α = 90.00°, β = 90.00°, γ = 90.00°
With the nearest neighbours (Å) after each atom.
Space group I-42d (No. 122)
One atom of each set of equivalent atoms:
La1 0.2453 0.2500 0.1250 [8 per cell]  2 Mn 2.71, 2 Ru 2.76
Mn1 0.0000 0.0000 0.0000 [4 per cell]  4 La 2.71
Ru1 0.0000 0.0000 0.5000 [4 per cell]  4 La 2.76

Properties
The calculation puts the formation energy from the elements at 580 meV/atom. The total energy is -6.495 eV/atom.